Record 1
A plane-wave DFT calculation with GGA-PBE was carried out for a geometry-optimized LaSm3O structure.

The formation energy without anion corrections comes out at -101.6 kJ per mole of atoms. The calculation puts the raw total energy at -5.862 eV per atom.

It has space group Pm-3m (No. 221), with a = 5.083 Å, b = 5.083 Å, c = 5.083 Å, α = 90.00°, β = 90.00° and γ = 90.00°. The inequivalent atoms are La at (0.000, 0.000, 0.000), Sm at (0.000, 0.500, 0.500) and O at (0.500, 0.500, 0.500).



Record 2
A plane-wave DFT calculation with GGA-PBE was carried out for a geometry-optimized LaSm3O6 structure.

The formation energy without anion corrections comes out at -328.0 kJ per mole of atoms. The calculation puts the raw total energy at -8.283 eV per atom. The value obtained for the polymorph energy (0 for the lowest one) is 0.009 eV/atom.

It has space group R-3 (No. 148, hexagonal axes), with a = 10.0094 Å, b = 10.0094 Å, c = 11.8520 Å, α = 90.00°, β = 90.00° and γ = 120.00°. The inequivalent atoms are La at (0.0000, 0.0000, 0.0000), La at (0.0000, 0.0000, 0.5000), Sm at (0.0363, 0.7721, 0.2123), O at (0.0255, 0.8011, 0.4035) and O at (0.0283, 0.8408, 0.8639).



Record 3
A plane-wave DFT calculation with GGA-PBE was carried out for a geometry-optimized La2Sm2O structure.

The formation energy without anion corrections comes out at -108.4 kJ per mole of atoms. The calculation puts the raw total energy at -5.974 eV per atom.

It has space group P4/mmm (No. 123), with a = 5.250 Å, b = 5.250 Å, c = 4.943 Å, α = 90.00°, β = 90.00° and γ = 90.00°. The inequivalent atoms are La at (0.000, 0.500, 0.000), Sm at (0.000, 0.000, 0.500), Sm at (0.500, 0.500, 0.500) and O at (0.000, 0.000, 0.000).



Record 4
A plane-wave DFT calculation with GGA-PBE was carried out for a geometry-optimized La5SmO6 structure.

The formation energy without anion corrections comes out at -274.3 kJ per mole of atoms. The calculation puts the raw total energy at -7.769 eV per atom.

It has space group C2/m (No. 12), with a = 6.273 Å, b = 10.875 Å, c = 6.290 Å, α = 90.00°, β = 109.64° and γ = 90.00°. The inequivalent atoms are La at (0.000, 0.000, 0.000), La at (0.000, 0.166, 0.500), La at (0.000, 0.332, 0.000), Sm at (0.000, 0.500, 0.500), O at (0.242, 0.338, 0.739) and O at (0.243, 0.500, 0.257).



Record 5
A plane-wave DFT calculation with GGA-PBE was carried out for a geometry-optimized LaSmO2 structure.

The formation energy without anion corrections comes out at -259.0 kJ per mole of atoms. The calculation puts the raw total energy at -7.575 eV per atom. The value obtained for the polymorph energy (0 for the lowest one) is 0.140 eV/atom.

It has space group R3m (No. 160, hexagonal axes), with a = 3.5507 Å, b = 3.5507 Å, c = 18.3005 Å, α = 90.00°, β = 90.00° and γ = 120.00°. The inequivalent atoms are La at (0.0000, 0.0000, 0.0000), Sm at (0.0000, 0.0000, 0.1775), O at (0.0000, 0.0000, 0.5803) and O at (0.0000, 0.0000, 0.7626).



Record 6
A plane-wave DFT calculation with GGA-PBE was carried out for a geometry-optimized LaSmO2 structure.

The formation energy without anion corrections comes out at -272.0 kJ per mole of atoms. The calculation puts the raw total energy at -7.710 eV per atom. The value obtained for the polymorph energy (0 for the lowest one) is 0.006 eV/atom.

It has space group R-3m (No. 166, hexagonal axes), with a = 3.8561 Å, b = 3.8561 Å, c = 20.1034 Å, α = 90.00°, β = 90.00° and γ = 120.00°. The inequivalent atoms are La at (0.0000, 0.0000, 0.0000), Sm at (0.0000, 0.0000, 0.5000) and O at (0.0000, 0.0000, 0.3874).



Record 7
A plane-wave DFT calculation with GGA-PBE was carried out for a geometry-optimized LaSm2O structure.

The formation energy without anion corrections comes out at -114.7 kJ per mole of atoms. The calculation puts the raw total energy at -6.020 eV per atom. The value obtained for the polymorph energy (0 for the lowest one) is 0.000 eV/atom.

It has space group R-3m (No. 166, hexagonal axes), with a = 3.5802 Å, b = 3.5802 Å, c = 28.9705 Å, α = 90.00°, β = 90.00° and γ = 120.00°. The inequivalent atoms are La at (0.0000, 0.0000, 0.0000), Sm at (0.0000, 0.0000, 0.1200) and O at (0.0000, 0.0000, 0.5000).



Record 8
A plane-wave DFT calculation with GGA-PBE was carried out for a geometry-optimized LaSmO2 structure.

The formation energy without anion corrections comes out at -272.6 kJ per mole of atoms. The calculation puts the raw total energy at -7.716 eV per atom. The value obtained for the polymorph energy (0 for the lowest one) is 0.000 eV/atom.

It has space group R-3m (No. 166, hexagonal axes), with a = 3.5651 Å, b = 3.5651 Å, c = 17.7006 Å, α = 90.00°, β = 90.00° and γ = 120.00°. The inequivalent atoms are La at (0.0000, 0.0000, 0.0000), Sm at (0.0000, 0.0000, 0.5000) and O at (0.0000, 0.0000, 0.2410).



Record 9
A plane-wave DFT calculation with GGA-PBE was carried out for a geometry-optimized La2SmSnO structure.

The formation energy without anion corrections comes out at -146.0 kJ per mole of atoms. The calculation puts the raw total energy at -6.220 eV per atom.

It has space group P4/mmm (No. 123), with a = 5.067 Å, b = 5.067 Å, c = 4.918 Å, α = 90.00°, β = 90.00° and γ = 90.00°. The inequivalent atoms are La at (0.000, 0.500, 0.000), Sm at (0.000, 0.000, 0.500), Sn at (0.500, 0.500, 0.500) and O at (0.000, 0.000, 0.000).



Record 10
A plane-wave DFT calculation with GGA-PBE was carried out for a geometry-optimized La2Sm2Sn2O structure.

The formation energy without anion corrections comes out at -130.7 kJ per mole of atoms. The calculation puts the raw total energy at -5.963 eV per atom.

It has space group I4/mmm (No. 139), with a = 4.767 Å, b = 4.767 Å, c = 17.423 Å, α = 90.00°, β = 90.00° and γ = 90.00°. The inequivalent atoms are La at (0.000, 0.000, 0.173), Sm at (0.000, 0.500, 0.000), Sn at (0.000, 0.000, 0.366) and O at (0.000, 0.000, 0.000).



Record 11
A plane-wave DFT calculation with GGA-PBE was carried out for a geometry-optimized La3SmSn2O structure.

The formation energy without anion corrections comes out at -128.7 kJ per mole of atoms. The calculation puts the raw total energy at -5.971 eV per atom.

It has space group Immm (No. 71), with a = 4.810 Å, b = 4.828 Å, c = 17.567 Å, α = 90.00°, β = 90.00° and γ = 90.00°. The inequivalent atoms are La at (0.000, 0.000, 0.000), La at (0.000, 0.500, 0.175), Sm at (0.000, 0.000, 0.500), Sn at (0.000, 0.500, 0.364) and O at (0.000, 0.500, 0.000).



Record 12
A plane-wave DFT calculation with GGA-PBE was carried out for a geometry-optimized La2TbSmO structure.

The formation energy without anion corrections comes out at -109.5 kJ per mole of atoms. The calculation puts the raw total energy at -5.967 eV per atom.

It has space group P4/mmm (No. 123), with a = 5.318 Å, b = 5.318 Å, c = 4.760 Å, α = 90.00°, β = 90.00° and γ = 90.00°. The inequivalent atoms are La at (0.000, 0.500, 0.000), Tb at (0.000, 0.000, 0.500), Sm at (0.500, 0.500, 0.500) and O at (0.000, 0.000, 0.000).



Record 13
A plane-wave DFT calculation with GGA-PBE was carried out for a geometry-optimized LaSmTc2O8 structure.

The formation energy without anion corrections comes out at -215.6 kJ per mole of atoms. The calculation puts the raw total energy at -8.071 eV per atom.

It has space group I-4 (No. 82), with a = 5.336 Å, b = 5.336 Å, c = 11.650 Å, α = 90.00°, β = 90.00° and γ = 90.00°. The inequivalent atoms are La at (0.000, 0.000, 0.000), Sm at (0.000, 0.500, 0.750), Tc at (0.000, 0.000, 0.500), Tc at (0.000, 0.500, 0.250), O at (0.153, 0.251, 0.586) and O at (0.164, 0.749, 0.167).



Record 14
A plane-wave DFT calculation with GGA-PBE was carried out for a geometry-optimized LaSm2TcO8 structure.

The formation energy without anion corrections comes out at -248.5 kJ per mole of atoms. The calculation puts the raw total energy at -7.942 eV per atom.

It has space group Cmmm (No. 65), with a = 7.290 Å, b = 7.302 Å, c = 7.025 Å, α = 90.00°, β = 90.00° and γ = 90.00°. The inequivalent atoms are La at (0.000, 0.000, 0.000), Sm at (0.000, 0.500, 0.252), Tc at (0.000, 0.000, 0.500), O at (0.000, 0.260, 0.500), O at (0.000, 0.313, 0.000) and O at (0.181, 0.000, 0.302).



Record 15
A plane-wave DFT calculation with GGA-PBE was carried out for a geometry-optimized LaSmTeO2 structure.

The formation energy without anion corrections comes out at -286.1 kJ per mole of atoms. The calculation puts the raw total energy at -7.506 eV per atom.

It has space group I4mm (No. 107), with a = 4.078 Å, b = 4.078 Å, c = 13.014 Å, α = 90.00°, β = 90.00° and γ = 90.00°. The inequivalent atoms are La at (0.000, 0.000, 0.000), Sm at (0.000, 0.000, 0.680), Te at (0.000, 0.000, 0.337) and O at (0.000, 0.500, 0.093).



Record 16
A plane-wave DFT calculation with GGA-PBE was carried out for a geometry-optimized La2SmTe2O2 structure.

The formation energy without anion corrections comes out at -213.4 kJ per mole of atoms. The calculation puts the raw total energy at -6.608 eV per atom.

It has space group I4/mmm (No. 139), with a = 4.525 Å, b = 4.525 Å, c = 16.778 Å, α = 90.00°, β = 90.00° and γ = 90.00°. The inequivalent atoms are La at (0.000, 0.000, 0.113), Sm at (0.000, 0.000, 0.500), Te at (0.000, 0.000, 0.316) and O at (0.000, 0.500, 0.000).



Record 17
A plane-wave DFT calculation with GGA-PBE was carried out for a geometry-optimized La2SmTeO8 structure.

The formation energy without anion corrections comes out at -233.9 kJ per mole of atoms. The calculation puts the raw total energy at -7.206 eV per atom.

It has space group P2/m (No. 10), with a = 4.424 Å, b = 7.254 Å, c = 5.535 Å, α = 90.00°, β = 94.08° and γ = 90.00°. The inequivalent atoms are La at (0.000, 0.248, 0.000), Sm at (0.500, 0.500, 0.500), Te at (0.500, 0.000, 0.500), O at (0.058, 0.500, 0.250), O at (0.099, 0.000, 0.330) and O at (0.431, 0.204, 0.729).



Record 18
A plane-wave DFT calculation with GGA-PBE was carried out for a geometry-optimized La12SmTl4O3 structure.

The formation energy without anion corrections comes out at -82.0 kJ per mole of atoms. The calculation puts the raw total energy at -5.259 eV per atom.

It has space group Im-3m (No. 229), with a = 10.433 Å, b = 10.433 Å, c = 10.433 Å, α = 90.00°, β = 90.00° and γ = 90.00°. The inequivalent atoms are La at (0.000, 0.000, 0.271), La at (0.000, 0.250, 0.500), Sm at (0.000, 0.000, 0.000), Tl at (0.250, 0.250, 0.250) and O at (0.000, 0.000, 0.500).



Record 19
A plane-wave DFT calculation with GGA-PBE was carried out for a geometry-optimized La2Sm4Tl3O2 structure.

The formation energy without anion corrections comes out at -120.1 kJ per mole of atoms. The calculation puts the raw total energy at -5.404 eV per atom.

It has space group I4/mmm (No. 139), with a = 4.862 Å, b = 4.862 Å, c = 25.674 Å, α = 90.00°, β = 90.00° and γ = 90.00°. The inequivalent atoms are La at (0.000, 0.000, 0.196), Sm at (0.000, 0.500, 0.083), Tl at (0.000, 0.000, 0.327), Tl at (0.000, 0.000, 0.500) and O at (0.000, 0.000, 0.100).



Record 20
A plane-wave DFT calculation with GGA-PBE was carried out for a geometry-optimized La2SmTlO6 structure.

The formation energy without anion corrections comes out at -260.8 kJ per mole of atoms. The calculation puts the raw total energy at -7.372 eV per atom.

It has space group R3 (No. 146, hexagonal axes), with a = 6.0849 Å, b = 6.0849 Å, c = 15.5739 Å, α = 90.00°, β = 90.00° and γ = 120.00°. The inequivalent atoms are La at (0.0000, 0.0000, 0.0000), La at (0.0000, 0.0000, 0.4984), Sm at (0.0000, 0.0000, 0.7223), Tl at (0.0000, 0.0000, 0.2209), O at (0.0535, 0.6865, 0.7813) and O at (0.0557, 0.3656, 0.2827).